Density functional theory data (PBE-GGA) for an optimized crystal structure of MgTl2P2Pd7.

abc: 4.039 4.039 14.039
angles: 78.30 78.30 89.69
Fractional positions:
Tl 0.714 0.714 0.389
Tl 0.286 0.286 0.611
Pd 0.197 0.197 0.410
Pd 0.894 0.393 0.150
Pd 0.500 0.500 0.000
Pd 0.393 0.894 0.150
Pd 0.803 0.803 0.590
Pd 0.607 0.106 0.850
Pd 0.106 0.607 0.850
P 0.668 0.668 0.763
P 0.332 0.332 0.237
Mg 0.000 0.000 0.000

SG: C2/m, No. 12
Mass density, g/cm3: 9.38
Uncorrected energy, eV per atom: -4.844
Total magnetization, μB per cell: 0.00